Entry 1:
DFT (GGA-PBE) results for a geometry-optimized Pa2Ni21B6 structure.

Cell and atoms, written as POSCAR:
```
Pa2Ni21B6
1.0
6.550 0.000 3.782
2.183 6.175 3.782
0.000 0.000 7.563
Ni B Pa
21 6 2
direct
0.000 0.000 0.661
0.000 0.339 0.661
0.387 0.387 0.387
0.613 0.613 0.613
0.661 0.339 0.000
0.661 0.000 0.000
0.613 0.613 0.160
0.000 0.661 0.339
0.000 0.000 0.339
0.160 0.613 0.613
0.000 0.000 0.000
0.339 0.000 0.661
0.387 0.840 0.387
0.000 0.339 0.000
0.840 0.387 0.387
0.339 0.661 0.000
0.387 0.387 0.840
0.661 0.000 0.339
0.000 0.661 0.000
0.613 0.160 0.613
0.339 0.000 0.000
0.734 0.266 0.266
0.734 0.734 0.266
0.734 0.266 0.734
0.266 0.734 0.266
0.266 0.266 0.734
0.266 0.734 0.734
0.250 0.250 0.250
0.750 0.750 0.750
```

Summary:
VASP energy: -6.60 eV/atom
Crystal system: cubic

Entry 2:
DFT (GGA-PBE) results for a geometry-optimized PaNi2B4 structure.

Cell and atoms, written as POSCAR:
```
PaNi2B4
1.0
-1.872 -0.961 2.236
-1.296 -2.103 -1.988
6.522 -3.411 1.887
B Ni Pa
4 2 1
direct
0.892 0.392 0.784
0.343 0.343 0.686
0.657 0.657 0.314
0.108 0.608 0.216
0.800 0.800 0.600
0.200 0.200 0.400
0.500 0.000 0.000
```

Summary:
VASP energy: -7.16 eV/atom
Crystal system: orthorhombic

Entry 3:
DFT (GGA-PBE) results for a geometry-optimized Pa2NiB3 structure.

Cell and atoms, written as POSCAR:
```
Pa2NiB3
1.0
-3.108 -4.139 0.365
2.354 -2.670 -3.776
4.104 0.964 5.755
B Pa Ni
6 4 2
direct
0.852 0.299 0.151
0.149 0.149 0.299
0.148 0.701 0.849
0.851 0.851 0.701
0.701 0.148 0.849
0.299 0.852 0.151
0.250 0.750 0.500
0.741 0.741 0.000
0.259 0.259 0.000
0.750 0.250 0.500
0.331 0.331 0.662
0.669 0.669 0.338
```

Summary:
VASP energy: -8.01 eV/atom
Crystal system: orthorhombic

Entry 4:
DFT (GGA-PBE) results for a geometry-optimized PaNi4B structure.

Cell and atoms, written as POSCAR:
```
PaNi4B
1.0
-2.805 -0.163 -2.022
-1.808 -5.084 2.918
-3.556 3.914 4.618
Ni Pa B
8 2 2
direct
0.000 0.000 0.500
0.500 0.698 0.433
0.500 0.962 0.750
0.000 0.000 0.000
0.500 0.302 0.567
0.500 0.698 0.067
0.500 0.038 0.250
0.500 0.302 0.933
0.000 0.388 0.250
0.000 0.612 0.750
0.000 0.834 0.250
0.000 0.166 0.750
```

Summary:
VASP energy: -6.92 eV/atom
Crystal system: orthorhombic

Entry 5:
DFT (GGA-PBE) results for a geometry-optimized PaNi2B2 structure.

Cell and atoms, written as POSCAR:
```
PaNi2B2
1.0
2.997 0.000 -1.292
-0.351 3.830 -0.814
0.409 -0.229 5.073
B Pa Ni
2 1 2
direct
0.735 0.099 0.469
0.265 0.901 0.531
0.000 0.000 0.000
0.346 0.443 0.692
0.654 0.557 0.308
```

Summary:
VASP energy: -7.28 eV/atom
Crystal system: monoclinic

Entry 6:
DFT (GGA-PBE) results for a geometry-optimized PaTc2NiB structure.

Cell and atoms, written as POSCAR:
```
PaTc2NiB
1.0
3.934 0.000 0.000
0.000 4.289 0.000
0.000 0.000 4.289
Tc Ni B Pa
2 1 1 1
direct
0.000 0.000 0.500
0.000 0.500 0.000
0.500 0.000 0.000
0.000 0.000 0.000
0.500 0.500 0.500
```

Summary:
VASP energy: -8.95 eV/atom
Crystal system: tetragonal

Number 1: energy of formation -0.373 eV per atom. Number 2: energy of formation -0.332 eV per atom. Number 3: energy of formation -0.540 eV per atom. Number 4: energy of formation -0.367 eV per atom. Number 5: energy of formation -0.394 eV per atom. Number 6: energy of formation -0.416 eV per atom.